# Li3TeMo (PBE, relaxed)
# * mass density: 2.903 Mg/m³
# * VASP energy: -3.427 eV per atom
data_Li3TeMo
_chemical_formula_sum 'Li3 Te1 Mo1'
_space_group_name_H-M_alt 'P m -3 m'
_space_group_IT_number 221
_space_group_name_Hall '-P 4 2 3'
_cell_length_a 5.190
_cell_length_b 5.190
_cell_length_c 5.190
_cell_angle_alpha 90.00
_cell_angle_beta 90.00
_cell_angle_gamma 90.00
loop_
_atom_site_label
_atom_site_fract_x
_atom_site_fract_y
_atom_site_fract_z
Li1 0.000 0.000 0.500
Te1 0.000 0.000 0.000
Mo1 0.500 0.500 0.500